1.
DFT (GGA-PBE) results for a relaxed EuGaBi2 crystal.

abc: 4.2796 4.2796 6.4819
angles: 90.00 90.00 90.00
Last column: nearest neighbours and their distance in Å.
Positions (direct):
Eu  0.5000  0.5000  0.5000  2 Ga 3.24, 8 Bi 3.45
Bi  0.0000  0.0000  0.2441  2 Bi 3.16-3.32, 4 Ga 3.41, 4 Eu 3.45
Bi  0.0000  0.0000  0.7559  2 Bi 3.16-3.32, 4 Ga 3.41, 4 Eu 3.45
Ga  0.5000  0.5000  0.0000  2 Eu 3.24, 8 Bi 3.41

Its space group is P4/mmm (123). The density of states at the Fermi level is 6.53 states/eV/cell. As for the formation energy: -0.364 eV per atom. The total energy is -5.630 eV per atom. The calculation puts the energy above the most stable polymorph in this dataset at 33 kJ/mol of formula units.


2.
DFT (GGA-PBE) results for a relaxed Eu2GaBi crystal.

abc: 4.4381 5.1833 5.1833
angles: 90.00 90.00 90.00
Last column: nearest neighbours and their distance in Å.
Positions (direct):
Ga  0.5000  0.0000  0.0000  8 Eu 3.41, 4 Bi 3.67
Bi  0.5000  0.5000  0.5000  8 Eu 3.41, 4 Ga 3.67
Eu  0.0000  0.0000  0.5000  4 Bi 3.41, 4 Ga 3.41, 4 Eu 3.67
Eu  0.0000  0.5000  0.0000  4 Bi 3.41, 4 Ga 3.41, 4 Eu 3.67

Its space group is P4/mmm (123). The density of states at the Fermi level is 7.45 states/eV/cell. As for the formation energy: -0.612 eV per atom. The total energy is -7.476 eV per atom. The calculation puts the energy above the most stable polymorph in this dataset at 0 kJ/mol of formula units.